[1]
Density functional theory data (PBE-GGA) for LaSmSCl after structural relaxation.

Values from the calculation:
Calculated total energy = -5.631 eV per atom
ρ = 5.88 Mg/m³
Formation energy without anion corrections = -1.726 eV/atom

Cell: 3.9611 3.9630 7.7528 Å, 90.00 104.78 120.01°
Closest atoms and distances in Å follow each position.
Fractional positions:
La: 0.4947 0.1453 0.6557  3 S 2.82
Sm: 0.1141 0.9550 0.0840  3 S 2.74, 3 Cl 3.02
S: 0.3107 0.5533 0.8794  3 Sm 2.74, 3 La 2.82
Cl: 0.9583 0.3772 0.3506  3 Sm 3.02, 3 La 3.22

***

[2]
Density functional theory data (PBE-GGA) for SrBeNi2 after structural relaxation.

Values from the calculation:
Calculated total energy = -3.738 eV per atom
Calculated formation energy = 2.019 eV/f.u.
ρ = 5.51 Mg/m³
Energy above the lowest structure with this stoichiometry = 250 kJ/mol of formula units

Cell: 4.5027 4.5027 4.5027 Å, 60.00 60.00 60.00°
Closest atoms and distances in Å follow each position.
Fractional positions:
Ni: 0.7500 0.7500 0.7500  4 Sr 2.76, 4 Be 2.76
Ni: 0.2500 0.2500 0.2500  4 Sr 2.76, 4 Be 2.76
Sr: 0.5000 0.5000 0.5000  8 Ni 2.76
Be: 0.0000 0.0000 0.0000  8 Ni 2.76

***

[3]
Density functional theory data (PBE-GGA) for Mn4TeSe after structural relaxation.

Values from the calculation:
Calculated total energy = -6.731 eV per atom
ρ = 7.43 Mg/m³
Formation energy without anion corrections = 0.487 eV/atom

Cell: 5.1260 5.1260 5.1260 Å, 60.00 60.00 60.00°
Closest atoms and distances in Å follow each position.
Fractional positions:
Te: 0.0000 0.0000 0.0000  12 Mn 3.00, 4 Se 3.14
Se: 0.2500 0.2500 0.2500  12 Mn 3.01, 4 Te 3.14
Mn: 0.1244 0.6252 0.6252  6 Mn 2.56-2.57
Mn: 0.6252 0.6252 0.6252  6 Mn 2.56-2.57
Mn: 0.6252 0.1244 0.6252  6 Mn 2.56-2.57
Mn: 0.6252 0.6252 0.1244  6 Mn 2.56-2.57

***

[4]
Density functional theory data (PBE-GGA) for Tb2Pm3YTe6 after structural relaxation.

Values from the calculation:
Calculated total energy = -5.430 eV per atom
ρ = 7.29 Mg/m³
Formation energy without anion corrections = -1.361 eV/atom

Cell: 4.3909 8.8979 9.8929 Å, 103.44 102.82 90.00°
Closest atoms and distances in Å follow each position.
Fractional positions:
Te: 0.0018 0.2450 0.0037  2 Y 3.09, 1 Tb 3.09, 3 Pm 3.16
Te: 0.3354 0.9124 0.6708  1 Y 3.08, 2 Tb 3.09, 3 Pm 3.16
Te: 0.3317 0.4212 0.6634  3 Tb 3.09, 3 Pm 3.15-3.16
Te: 0.9982 0.7550 0.9963  2 Y 3.09, 1 Tb 3.09, 3 Pm 3.16
Te: 0.6683 0.5788 0.3366  3 Tb 3.09, 3 Pm 3.15-3.16
Te: 0.6646 0.0876 0.3292  1 Y 3.08, 2 Tb 3.09, 3 Pm 3.16
Pm: 0.5000 0.5000 0.0000  6 Te 3.15-3.16
Pm: 0.8332 0.1670 0.6663  6 Te 3.16
Pm: 0.1668 0.8330 0.3337  6 Te 3.16
Tb: 0.8330 0.6662 0.6660  6 Te 3.09
Tb: 0.1670 0.3338 0.3340  6 Te 3.09
Y: 0.5000 0.0000 0.0000  6 Te 3.08-3.09

***

[5]
Density functional theory data (PBE-GGA) for Sc2Al5Fe2Ru after structural relaxation.

Values from the calculation:
Calculated total energy = -6.102 eV per atom
Calculated formation energy = -3.446 eV/f.u.
ρ = 4.67 Mg/m³

Cell: 2.9949 10.1893 10.1893 Å, 90.00 90.00 90.00°
Closest atoms and distances in Å follow each position.
Fractional positions:
Sc: 0.0000 0.3097 0.8097  1 Fe 2.59
Sc: 0.0000 0.8097 0.6903  1 Fe 2.59
Sc: 0.0000 0.1903 0.3097  1 Fe 2.59
Sc: 0.0000 0.6903 0.1903  1 Fe 2.59
Al: 0.5000 0.0500 0.8026  2 Fe 2.45, 2 Ru 2.56
Al: 0.5000 0.0000 0.5000  4 Fe 2.40
Al: 0.5000 0.8026 0.9500  2 Fe 2.45, 2 Ru 2.56
Al: 0.5000 0.6974 0.4500  2 Fe 2.45, 2 Ru 2.56
Al: 0.5000 0.1974 0.0500  2 Fe 2.45, 2 Ru 2.56
Al: 0.5000 0.9500 0.1974  2 Fe 2.45, 2 Ru 2.56
Al: 0.5000 0.3026 0.5500  2 Fe 2.45, 2 Ru 2.56
Al: 0.5000 0.4500 0.3026  2 Fe 2.45, 2 Ru 2.56
Al: 0.5000 0.5500 0.6974  2 Fe 2.45, 2 Ru 2.56
Al: 0.5000 0.5000 0.0000  4 Fe 2.40
Ru: 0.0000 0.5000 0.5000  8 Al 2.56
Ru: 0.0000 0.0000 0.0000  8 Al 2.56
Fe: 0.0000 0.1301 0.6301  6 Al 2.40-2.45, 1 Sc 2.59
Fe: 0.0000 0.8699 0.3699  6 Al 2.40-2.45, 1 Sc 2.59
Fe: 0.0000 0.3699 0.1301  6 Al 2.40-2.45, 1 Sc 2.59
Fe: 0.0000 0.6301 0.8699  6 Al 2.40-2.45, 1 Sc 2.59

***

[6]
Density functional theory data (PBE-GGA) for Ni2H2Cl after structural relaxation.

Values from the calculation:
Calculated total energy = -3.870 eV per atom
ρ = 4.94 Mg/m³
Energy above the lowest structure with this stoichiometry = 0 kJ/mol of formula units

Cell: 3.4585 3.4585 4.9952 Å, 69.75 69.75 90.00°
Closest atoms and distances in Å follow each position.
Fractional positions:
H: 0.7031 0.7031 0.5939  4 Ni 1.78
H: 0.2969 0.2969 0.4061  4 Ni 1.78
Cl: 0.0000 0.0000 0.0000  2 H 2.59, 8 Ni 2.78
Ni: 0.2500 0.7500 0.5000  4 H 1.78
Ni: 0.7500 0.2500 0.5000  4 H 1.78

***

[7]
Density functional theory data (PBE-GGA) for AcCeGa after structural relaxation.

Values from the calculation:
Calculated total energy = -4.580 eV per atom
Calculated formation energy = -0.671 eV/f.u.
ρ = 7.66 Mg/m³
Energy above the lowest structure with this stoichiometry = 37 kJ/mol of formula units

Cell: 4.1661 5.0440 10.0438 Å, 99.28 90.11 65.69°
Closest atoms and distances in Å follow each position.
Fractional positions:
Ce: 0.3321 0.8362 0.0539  3 Ce 2.89-3.09, 3 Ga 2.98-3.04
Ce: 0.6679 0.1638 0.9461  3 Ce 2.89-3.09, 3 Ga 2.98-3.04
Ac: 0.6694 0.1630 0.3492  3 Ga 3.22-3.32
Ac: 0.3306 0.8370 0.6508  3 Ga 3.22-3.32
Ga: 0.9883 0.5227 0.8250  5 Ce 2.98-3.25, 3 Ac 3.22-3.32
Ga: 0.0117 0.4773 0.1750  5 Ce 2.98-3.25, 3 Ac 3.22-3.32

***

[8]
Density functional theory data (PBE-GGA) for TlP3H after structural relaxation.

Values from the calculation:
Calculated total energy = -3.458 eV per atom
ρ = 6.30 Mg/m³
Energy above the lowest structure with this stoichiometry = 0 kJ/mol of formula units

Cell: 4.2842 4.2842 4.2842 Å, 90.00 90.00 90.00°
Closest atoms and distances in Å follow each position.
Fractional positions:
P: 0.0000 0.0000 0.5000  2 H 2.14
P: 0.0000 0.5000 0.0000  2 H 2.14
P: 0.5000 0.0000 0.0000  2 H 2.14
Tl: 0.5000 0.5000 0.5000  12 P 3.03
H: 0.0000 0.0000 0.0000  6 P 2.14

***

[9]
Density functional theory data (PBE-GGA) for VPd6Pt2 after structural relaxation.

Values from the calculation:
Calculated total energy = -5.330 eV per atom
Calculated formation energy = 4.386 eV/f.u.
ρ = 10.05 Mg/m³
Energy above the lowest structure with this stoichiometry = 590 kJ/mol of formula units

Cell: 5.5408 5.5408 11.6152 Å, 90.00 90.00 90.00°
Closest atoms and distances in Å follow each position.
Fractional positions:
Pd: 0.2062 0.2062 0.1150  2 Pt 2.57, 1 V 2.66, 3 Pd 2.67-2.68
Pd: 0.2938 0.7062 0.3850  2 Pt 2.57, 1 V 2.66, 3 Pd 2.67-2.68
Pd: 0.2139 0.7861 0.0000  1 V 2.24
Pd: 0.7861 0.2139 0.0000  1 V 2.24
Pd: 0.2062 0.2062 0.8850  2 Pt 2.57, 1 V 2.66, 3 Pd 2.67-2.68
Pd: 0.7062 0.2938 0.3850  2 Pt 2.57, 1 V 2.66, 3 Pd 2.67-2.68
Pd: 0.7938 0.7938 0.8850  2 Pt 2.57, 1 V 2.66, 3 Pd 2.67-2.68
Pd: 0.7139 0.7139 0.5000  1 V 2.24
Pd: 0.2861 0.2861 0.5000  1 V 2.24
Pd: 0.7062 0.2938 0.6150  2 Pt 2.57, 1 V 2.66, 3 Pd 2.67-2.68
Pd: 0.7938 0.7938 0.1150  2 Pt 2.57, 1 V 2.66, 3 Pd 2.67-2.68
Pd: 0.2938 0.7062 0.6150  2 Pt 2.57, 1 V 2.66, 3 Pd 2.67-2.68
Pt: 0.5000 0.5000 0.2127  1 V 2.47, 4 Pd 2.57
Pt: 0.0000 0.0000 0.7127  1 V 2.47, 4 Pd 2.57
Pt: 0.0000 0.0000 0.2873  1 V 2.47, 4 Pd 2.57
Pt: 0.5000 0.5000 0.7873  1 V 2.47, 4 Pd 2.57
V: 0.0000 0.0000 0.5000  2 Pd 2.24, 2 Pt 2.47
V: 0.5000 0.5000 0.0000  2 Pd 2.24, 2 Pt 2.47

***

[10]
Density functional theory data (PBE-GGA) for BiSeBr2N after structural relaxation.

Values from the calculation:
Calculated total energy = -2.894 eV per atom
ρ = 4.09 Mg/m³
Energy above the lowest structure with this stoichiometry = 63 kJ/mol of formula units
Formation energy without anion corrections = 0.914 eV/atom

Cell: 5.7759 5.7759 5.6165 Å, 90.00 90.00 90.00°
Closest atoms and distances in Å follow each position.
Fractional positions:
Bi: 0.0000 0.0000 0.0000  2 Se 2.81, 4 Br 2.89
Br: 0.5000 0.0000 0.0000  2 Bi 2.89
Br: 0.0000 0.5000 0.0000  2 Bi 2.89
N: 0.5000 0.5000 0.5000  8 Br 4.03, 4 Se 4.08
Se: 0.0000 0.0000 0.5000  2 Bi 2.81

***

[11]
Density functional theory data (PBE-GGA) for RbV2AuCl after structural relaxation.

Values from the calculation:
Calculated total energy = -3.152 eV per atom
ρ = 3.97 Mg/m³
Formation energy without anion corrections = 1.714 eV/atom

Cell: 5.6835 5.6835 5.4357 Å, 90.00 90.00 90.00°
Closest atoms and distances in Å follow each position.
Fractional positions:
Rb: 0.0000 0.0000 0.0000  2 Cl 2.72, 4 V 2.84
Cl: 0.0000 0.0000 0.5000  2 Rb 2.72
Au: 0.5000 0.5000 0.5000  8 V 3.93, 4 Cl 4.02
V: 0.5000 0.0000 0.0000  2 Rb 2.84
V: 0.0000 0.5000 0.0000  2 Rb 2.84